A plane-wave DFT calculation with PBE was carried out for an optimized crystal structure of NdPPt.

Total magnetization in μB/f.u.: 0.0
ΔH_f (0 K) in kJ/mol of formula units: -272
Total energy in eV per cell: -38.08

Unit cell a=5.4145 b=5.8485 c=5.8485 alpha=91.50 beta=62.43 gamma=62.43
With the nearest neighbours (Å) after each atom.
Element x y z (fractional)
Nd  0.7497  0.7500  0.7500  4 Pt 2.92
Nd  0.7503  0.2500  0.2500  4 Pt 2.92
P  0.3317  0.4183  0.9183  2 Pt 2.44
P  0.1683  0.0817  0.5817  2 Pt 2.44
Pt  0.7500  0.7501  0.2499  2 P 2.44, 2 Pt 2.71
Pt  0.2500  0.7499  0.2501  2 P 2.44, 2 Pt 2.71